A relaxed Fe2SiSnO6 crystal. Source: the Alexandria database, functional PBE with a Hubbard U.

```
10
Lattice="5.169 0.002 0.002 2.586 4.504 0.008 2.587 1.509 4.504" Properties=species:S:1:pos:R:3 pbc="T T T"
Si 2.584 1.505 0.217
Fe 5.197 2.993 1.824
Fe 2.588 1.503 4.146
O 4.105 1.310 1.130
O 3.754 3.131 3.484
O 7.137 2.927 1.127
O 6.007 4.217 3.540
O 5.796 1.687 3.540
O 4.205 4.778 1.112
Sn 7.754 4.520 2.513
```

## Properties
Electronic total energy in eV per atom: -6.80
Volume in Å³/cell: 105
Space-group type: P1 (1)